VASP calculation (PBE with a Hubbard U) on a relaxed structure of RbBeCoF6.

Cell lengths 4.841, 4.841, 6.258 Å; angles 90.00, 90.00, 120.00 degrees
Sites, in units of the cell vectors:
Rb1 0.000 0.000 0.000
Be1 0.667 0.333 0.500
Co1 0.333 0.667 0.500
F1 0.381 0.014 0.661
F2 0.381 0.367 0.339
F3 0.633 0.014 0.339
F4 0.633 0.619 0.661
F5 0.986 0.367 0.661
F6 0.986 0.619 0.339

## Properties
energy	-43.23	eV per cell